## A
HoTl2Pb2, optimized geometry, DFT PBE; SG = C2/c (15); DOS(E_F) = 0.59 states/eV/atom; volume = 29.06 Å³ per atom
1.0
5.8470 -3.0143 0.0000
5.8470 3.0143 0.0000
-3.1922 0.0000 8.2443
Ho Tl Pb
2 4 4
direct
0.1631 0.8369 0.7500
0.8369 0.1631 0.2500
0.0499 0.3691 0.6544
0.3691 0.0499 0.1544
0.6309 0.9501 0.8456
0.9501 0.6309 0.3456
0.2437 0.5827 0.0566
0.4173 0.7563 0.4434
0.5827 0.2437 0.5566
0.7563 0.4173 0.9434


## B
HoTl2Pb2, optimized geometry, DFT PBE; SG = Cmcm (63); DOS(E_F) = 0.60 states/eV/atom; volume = 29.15 Å³ per atom
1.0
2.3174 -13.5234 0.0000
2.3174 13.5234 0.0000
0.0000 0.0000 4.6500
Ho Tl Pb
2 4 4
direct
0.1524 0.8476 0.7500
0.8476 0.1524 0.2500
0.0508 0.9492 0.2500
0.4484 0.5516 0.2500
0.5516 0.4484 0.7500
0.9492 0.0508 0.7500
0.2506 0.7494 0.2500
0.3536 0.6464 0.7500
0.6464 0.3536 0.2500
0.7494 0.2506 0.7500


Best to worst by energy: B, A.